Compound: KInO3
Source: Alexandria
Functional: PBE
Structure: optimized geometry

Uncorrected formation energy   -856 meV per atom
Space group   No. 221
Size of the total moment   2.00 μB/cell
Density of states at the Fermi level   1.004 states/eV per atom
Crystal system   cubic
Mass density   4.42 g/cm³

Lattice parameters (Å, degrees): 4.232 4.232 4.232 90.00 90.00 90.00
Sites, in units of the cell vectors:
O 0.500 0.000 0.000
O 0.000 0.500 0.000
O 0.000 0.000 0.500
In 0.000 0.000 0.000
K 0.500 0.500 0.500

***

Compound: KInO2
Source: Alexandria
Functional: PBE
Structure: optimized geometry

Uncorrected formation energy   -1278 meV per atom
Space group   No. 63
Size of the total moment   0.00 μB/cell
Density of states at the Fermi level   0.000 states/eV per atom
Crystal system   orthorhombic
Mass density   3.87 g/cm³

Lattice parameters (Å, degrees): 9.598 9.598 4.323 90.00 90.00 156.40
Sites, in units of the cell vectors:
O 0.829 0.171 0.750
O 0.046 0.954 0.750
O 0.171 0.829 0.250
O 0.954 0.046 0.250
K 0.687 0.313 0.750
K 0.313 0.687 0.250
In 0.934 0.066 0.750
In 0.066 0.934 0.250

***

Question: The highest mass density belongs to which entry?
Answer: KInO3

***

Question: The lowest size of the total moment belongs to which entry?
Answer: KInO2

***

Question: Which formula does entry 1 have?
Answer: KInO3

***

What did the first record say?
Compound: KInO3
Source: Alexandria
Functional: PBE
Structure: optimized geometry

Uncorrected formation energy   -856 meV per atom
Space group   No. 221
Size of the total moment   2.00 μB/cell
Density of states at the Fermi level   1.004 states/eV per atom
Crystal system   cubic
Mass density   4.42 g/cm³

Lattice parameters (Å, degrees): 4.232 4.232 4.232 90.00 90.00 90.00
Sites, in units of the cell vectors:
O 0.500 0.000 0.000
O 0.000 0.500 0.000
O 0.000 0.000 0.500
In 0.000 0.000 0.000
K 0.500 0.500 0.500